## Pu2TcH (PBE)

Data for a relaxed structure of Pu2TcH.

POSCAR file:
```
Pu2TcH
1.0
3.294 0.000 0.000
1.647 2.853 0.000
1.647 0.951 7.363
H Tc Pu
1 1 2
direct
0.000 0.000 0.000
0.500 0.500 0.500
0.738 0.738 0.787
0.262 0.262 0.213
```

Results
For the density of states at the Fermi level, the calculation gives 10.9 states/eV/cell. The value obtained for the offset from the most stable computed form is 0.0737 eV per atom. The calculation puts the uncorrected energy at -42.17 eV/cell.

## ZnCu2F8 (PBE)

Data for a relaxed structure of ZnCu2F8.

POSCAR file:
```
ZnCu2F8
1.0
3.815 0.100 0.076
0.039 6.602 0.397
0.039 2.160 6.251
Zn Cu F
1 2 8
direct
0.000 0.000 0.000
0.751 0.755 0.755
0.249 0.245 0.245
0.242 0.278 0.942
0.758 0.058 0.722
0.253 0.764 0.764
0.747 0.236 0.236
0.242 0.942 0.278
0.758 0.722 0.058
0.761 0.595 0.595
0.239 0.405 0.405
```

Results
For the energy relative to the elements, uncorrected, the calculation gives -1383 meV per atom. For the density of states at the Fermi level, the calculation gives 3.7 states/eV/cell. The value obtained for the offset from the most stable computed form is 0.0385 eV per atom. The calculation puts the uncorrected energy at -39.65 eV/cell.

## NaCaHg (PBE)

Data for a relaxed structure of NaCaHg.

POSCAR file:
```
NaCaHg
1.0
-0.427 1.332 5.034
-3.327 -2.564 3.108
1.825 -3.193 3.711
Na Ca Hg
1 1 1
direct
0.000 0.000 0.000
0.500 0.500 0.500
0.250 0.250 0.250
```

Results
For the density of states at the Fermi level, the calculation gives 2.2 states/eV/cell. The value obtained for the offset from the most stable computed form is 0.0784 eV per atom. The value obtained for the formation energy is -196 meV per atom. The calculation puts the uncorrected energy at -4.21 eV/cell.

## La2BiH (PBE)

Data for a relaxed structure of La2BiH.

POSCAR file:
```
La2BiH
1.0
4.451 0.000 0.000
0.000 5.018 -1.225
0.000 -0.407 9.224
La Bi H
4 2 2
direct
0.000 0.500 0.000
0.500 0.000 0.000
0.500 0.681 0.363
0.500 0.319 0.637
0.000 0.849 0.699
0.000 0.151 0.301
0.500 0.554 0.107
0.500 0.446 0.893
```

Results
For the density of states at the Fermi level, the calculation gives 6.5 states/eV/cell. The value obtained for the offset from the most stable computed form is 0.0000 eV per atom. The calculation puts the uncorrected energy at -39.56 eV/cell.

## Cs4AsP2 (PBE)

Data for a relaxed structure of Cs4AsP2.

POSCAR file:
```
Cs4AsP2
1.0
5.977 0.000 1.331
2.840 5.259 1.331
0.855 0.510 10.244
Cs As P
4 1 2
direct
0.623 0.623 0.131
0.791 0.791 0.628
0.209 0.209 0.372
0.377 0.377 0.869
0.000 0.000 0.000
0.916 0.916 0.253
0.084 0.084 0.747
```

Results
For the density of states at the Fermi level, the calculation gives 4.2 states/eV/cell. The value obtained for the formation energy is -163 meV per atom. The calculation puts the uncorrected energy at -20.03 eV/cell.

## Ba2TiZn2O6 (PBE)

Data for a relaxed structure of Ba2TiZn2O6.

POSCAR file:
```
Ba2TiZn2O6
1.0
5.949 0.000 0.000
2.975 5.152 0.000
2.975 1.717 5.392
Ba Ti Zn O
2 1 2 6
direct
0.782 0.782 0.655
0.218 0.218 0.345
0.000 0.000 0.000
0.415 0.415 0.755
0.585 0.585 0.245
0.772 0.772 0.231
0.226 0.772 0.231
0.772 0.226 0.231
0.228 0.774 0.769
0.774 0.228 0.769
0.228 0.228 0.769
```

Results
For the energy relative to the elements, uncorrected, the calculation gives -2256 meV per atom. For the density of states at the Fermi level, the calculation gives 0.0 states/eV/cell. The calculation puts the uncorrected energy at -68.85 eV/cell.

Please write out number 5 again, unchanged.
## Cs4AsP2 (PBE)

Data for a relaxed structure of Cs4AsP2.

POSCAR file:
```
Cs4AsP2
1.0
5.977 0.000 1.331
2.840 5.259 1.331
0.855 0.510 10.244
Cs As P
4 1 2
direct
0.623 0.623 0.131
0.791 0.791 0.628
0.209 0.209 0.372
0.377 0.377 0.869
0.000 0.000 0.000
0.916 0.916 0.253
0.084 0.084 0.747
```

Results
For the density of states at the Fermi level, the calculation gives 4.2 states/eV/cell. The value obtained for the formation energy is -163 meV per atom. The calculation puts the uncorrected energy at -20.03 eV/cell.